Entry 1:
DFT (GGA-PBE) results for HgS3Cl after structural relaxation.

Summary:
- Density of states at the Fermi level: 3.94 states/eV per cell

Cell: 4.747 4.747 4.747 Å, 90.00 90.00 90.00°
Positions (direct):
Hg: 0.000 0.000 0.000
S: 0.000 0.500 0.500
S: 0.500 0.000 0.500
S: 0.500 0.500 0.000
Cl: 0.500 0.500 0.500



Entry 2:
DFT (GGA-PBE) results for HgS3Cl2 after structural relaxation.

Cell: 6.327 6.994 9.226 Å, 90.09 91.38 107.91°
Positions (direct):
Hg: 0.049 0.264 0.390
Hg: 0.951 0.736 0.610
S: 0.075 0.154 0.021
S: 0.425 0.196 0.049
S: 0.431 0.820 0.130
S: 0.569 0.180 0.870
S: 0.575 0.804 0.951
S: 0.925 0.846 0.979
Cl: 0.153 0.522 0.681
Cl: 0.287 0.074 0.443
Cl: 0.713 0.926 0.557
Cl: 0.847 0.478 0.319



Entry 3:
DFT (GGA-PBE) results for HgSCl3 after structural relaxation.

Summary:
- Density of states at the Fermi level: 1.61 states/eV per cell

Cell: 4.922 4.922 4.922 Å, 90.00 90.00 90.00°
Positions (direct):
Hg: 0.000 0.000 0.000
S: 0.500 0.500 0.500
Cl: 0.000 0.500 0.500
Cl: 0.500 0.000 0.500
Cl: 0.500 0.500 0.000



Entry 4:
DFT (GGA-PBE) results for Hg12S5Cl3 after structural relaxation.

Summary:
- Density of states at the Fermi level: 30.19 states/eV per cell

Cell: 14.462 14.462 14.462 Å, 109.47 109.47 109.47°
Positions (direct):
Hg: 0.045 0.217 0.128
Hg: 0.045 0.328 0.917
Hg: 0.083 0.628 0.411
Hg: 0.083 0.955 0.672
Hg: 0.089 0.717 0.672
Hg: 0.089 0.872 0.417
Hg: 0.128 0.045 0.217
Hg: 0.128 0.583 0.911
Hg: 0.172 0.217 0.589
Hg: 0.172 0.455 0.583
Hg: 0.217 0.128 0.045
Hg: 0.217 0.589 0.172
Hg: 0.283 0.328 0.911
Hg: 0.283 0.455 0.372
Hg: 0.328 0.911 0.283
Hg: 0.328 0.917 0.045
Hg: 0.372 0.283 0.455
Hg: 0.372 0.589 0.917
Hg: 0.411 0.083 0.628
Hg: 0.411 0.828 0.783
Hg: 0.417 0.089 0.872
Hg: 0.417 0.828 0.545
Hg: 0.455 0.372 0.283
Hg: 0.455 0.583 0.172
Hg: 0.545 0.417 0.828
Hg: 0.545 0.628 0.717
Hg: 0.583 0.172 0.455
Hg: 0.583 0.911 0.128
Hg: 0.589 0.172 0.217
Hg: 0.589 0.917 0.372
Hg: 0.628 0.411 0.083
Hg: 0.628 0.717 0.545
Hg: 0.672 0.083 0.955
Hg: 0.672 0.089 0.717
Hg: 0.717 0.545 0.628
Hg: 0.717 0.672 0.089
Hg: 0.783 0.411 0.828
Hg: 0.783 0.872 0.955
Hg: 0.828 0.545 0.417
Hg: 0.828 0.783 0.411
Hg: 0.872 0.417 0.089
Hg: 0.872 0.955 0.783
Hg: 0.911 0.128 0.583
Hg: 0.911 0.283 0.328
Hg: 0.917 0.045 0.328
Hg: 0.917 0.372 0.589
Hg: 0.955 0.672 0.083
Hg: 0.955 0.783 0.872
S: 0.000 0.000 0.000
S: 0.000 0.000 0.500
S: 0.000 0.500 0.000
S: 0.000 0.500 0.500
S: 0.125 0.750 0.875
S: 0.125 0.875 0.250
S: 0.250 0.125 0.875
S: 0.250 0.625 0.375
S: 0.375 0.250 0.625
S: 0.375 0.625 0.750
S: 0.500 0.000 0.000
S: 0.500 0.000 0.500
S: 0.500 0.500 0.000
S: 0.500 0.500 0.500
S: 0.625 0.375 0.250
S: 0.625 0.750 0.375
S: 0.750 0.375 0.625
S: 0.750 0.875 0.125
S: 0.875 0.125 0.750
S: 0.875 0.250 0.125
Cl: 0.125 0.250 0.375
Cl: 0.125 0.375 0.750
Cl: 0.250 0.375 0.125
Cl: 0.250 0.875 0.625
Cl: 0.375 0.125 0.250
Cl: 0.375 0.750 0.125
Cl: 0.625 0.250 0.875
Cl: 0.625 0.875 0.750
Cl: 0.750 0.125 0.375
Cl: 0.750 0.625 0.875
Cl: 0.875 0.625 0.250
Cl: 0.875 0.750 0.625



Entry 5:
DFT (GGA-PBE) results for HgS4Cl5 after structural relaxation.

Cell: 8.030 8.030 7.489 Å, 115.56 115.56 60.34°
Positions (direct):
Hg: 0.000 0.000 0.000
S: 0.378 0.454 0.428
S: 0.546 0.622 0.572
S: 0.729 0.116 0.410
S: 0.884 0.271 0.590
Cl: 0.019 0.659 0.778
Cl: 0.246 0.505 0.145
Cl: 0.341 0.981 0.222
Cl: 0.495 0.754 0.855
Cl: 0.704 0.296 0.000



Entry 6:
DFT (GGA-PBE) results for HgSCl after structural relaxation.

Cell: 4.277 5.375 7.970 Å, 76.83 79.70 89.71°
Positions (direct):
Hg: 0.218 0.049 0.227
Hg: 0.782 0.951 0.773
S: 0.376 0.667 0.965
S: 0.624 0.333 0.035
Cl: 0.218 0.220 0.603
Cl: 0.782 0.780 0.397



Entry 7:
DFT (GGA-PBE) results for Hg3SCl after structural relaxation.

Summary:
- Density of states at the Fermi level: 1.67 states/eV per cell

Cell: 5.323 5.323 5.323 Å, 90.00 90.00 90.00°
Positions (direct):
Hg: 0.000 0.000 0.500
Hg: 0.000 0.500 0.000
Hg: 0.500 0.000 0.000
S: 0.000 0.000 0.000
Cl: 0.500 0.500 0.500



Entry 8:
DFT (GGA-PBE) results for Hg3SCl5 after structural relaxation.

Summary:
- Density of states at the Fermi level: 7.29 states/eV per cell

Cell: 7.755 7.755 11.010 Å, 112.10 112.10 79.36°
Positions (direct):
Hg: 0.000 0.000 0.000
Hg: 0.000 0.000 0.500
Hg: 0.334 0.334 0.304
Hg: 0.336 0.336 0.828
Hg: 0.664 0.664 0.172
Hg: 0.666 0.666 0.696
S: 0.117 0.117 0.255
S: 0.883 0.883 0.745
Cl: 0.005 0.651 0.352
Cl: 0.215 0.215 0.993
Cl: 0.321 0.679 0.000
Cl: 0.349 0.995 0.648
Cl: 0.446 0.446 0.635
Cl: 0.554 0.554 0.365
Cl: 0.651 0.005 0.352
Cl: 0.679 0.321 0.000
Cl: 0.785 0.785 0.007
Cl: 0.995 0.349 0.648



no.,raw formation energy (eV/atom),final energy (eV/atom)
1,1.05,-1.855
2,-0.20,-2.927
3,0.08,-1.917
4,0.06,-1.432
5,-0.12,-2.723
6,-0.28,-2.369
7,0.00,-1.374
8,-0.35,-1.933